[1]
An optimized crystal structure of Al2TlNi2. Source: the Alexandria database, functional PBE.

Cell: 3.769 3.769 6.267 Å, 72.50 72.50 90.00°
Sites, in units of the cell vectors:
1 Ni 0.387 0.387 0.225
2 Ni 0.613 0.613 0.775
3 Tl 0.000 0.000 0.000
4 Al 0.750 0.250 0.500
5 Al 0.250 0.750 0.500

Computed properties:
Density in kg/m3: 7745
Electronic total energy in eV/atom: -4.406
Total magnetic moment in Bohr magnetons per cell: 0.000
Formation enthalpy at 0 K in eV/atom: -0.124

---

[2]
An optimized crystal structure of Pr4GePt3. Source: the Alexandria database, functional PBE.

Cell: 4.072 4.468 11.126 Å, 90.00 90.00 90.00°
Sites, in units of the cell vectors:
1 Pr 0.500 0.500 0.367
2 Pr 0.000 0.500 0.859
3 Pr 0.000 0.000 0.140
4 Pr 0.500 0.000 0.638
5 Ge 0.500 0.500 0.080
6 Pt 0.000 0.500 0.587
7 Pt 0.000 0.000 0.413
8 Pt 0.500 0.000 0.917

Computed properties:
Density in kg/m3: 10020
Electronic total energy in eV/atom: -6.265
Total magnetic moment in Bohr magnetons per cell: 0.000
Formation enthalpy at 0 K in eV/atom: -1.032

---

[3]
An optimized crystal structure of LiBeP. Source: the Alexandria database, functional PBE.

Cell: 4.762 4.762 4.762 Å, 141.18 141.18 56.07°
Sites, in units of the cell vectors:
1 Be 0.054 0.054 0.000
2 Li 0.328 0.328 0.000
3 P 0.618 0.618 0.000

Computed properties:
Density in kg/m3: 1850
Electronic total energy in eV/atom: -3.660
Total magnetic moment in Bohr magnetons per cell: 0.000
Formation enthalpy at 0 K in eV/atom: 0.023

---

[4]
An optimized crystal structure of AcTbPr2Dy4. Source: the Alexandria database, functional PBE.

Cell: 9.670 9.670 12.018 Å, 128.41 128.41 88.30°
Each line ends with the local moment (μB).
Sites, in units of the cell vectors:
1 Ac 0.000 0.500 0.000  0.01
2 Ac 0.000 0.500 0.500  0.01
3 Tb 0.500 0.500 0.500  0.04
4 Tb 0.000 0.000 0.000  0.04
5 Pr 0.500 0.000 0.000  0.05
6 Pr 0.500 0.000 0.500  0.05
7 Pr 0.000 0.000 0.500  0.04
8 Pr 0.500 0.500 0.000  0.04
9 Dy 0.257 0.768 0.013  0.02
10 Dy 0.732 0.243 0.487  0.02
11 Dy 0.268 0.757 0.513  0.02
12 Dy 0.743 0.232 0.987  0.02
13 Dy 0.741 0.756 0.993  0.06
14 Dy 0.744 0.759 0.507  0.06
15 Dy 0.256 0.241 0.493  0.06
16 Dy 0.259 0.244 0.007  0.06

Computed properties:
Density in kg/m3: 7789
Electronic total energy in eV/atom: -4.171
Total magnetic moment in Bohr magnetons per cell: 0.902
Formation enthalpy at 0 K in eV/atom: 0.417

---

[5]
An optimized crystal structure of LaPm3Pr8. Source: the Alexandria database, functional PBE.

Cell: 6.432 8.304 13.343 Å, 79.47 108.71 49.58°
Sites, in units of the cell vectors:
1 La 0.125 0.748 0.625
2 Pm 0.375 0.246 0.876
3 Pm 0.875 0.248 0.374
4 Pm 0.624 0.748 0.125
5 Pr 0.793 0.413 0.959
6 Pr 0.542 0.914 0.708
7 Pr 0.960 0.081 0.793
8 Pr 0.290 0.415 0.457
9 Pr 0.709 0.580 0.541
10 Pr 0.042 0.913 0.208
11 Pr 0.208 0.581 0.042
12 Pr 0.456 0.083 0.291

Computed properties:
Density in kg/m3: 6539
Electronic total energy in eV/atom: -4.773
Total magnetic moment in Bohr magnetons per cell: 0.000
Formation enthalpy at 0 K in eV/atom: 0.012

---

[6]
An optimized crystal structure of Tb2PmThP4. Source: the Alexandria database, functional PBE.

Cell: 4.090 7.058 7.075 Å, 70.52 90.00 90.00°
Sites, in units of the cell vectors:
1 Tb 0.000 0.000 0.000
2 Tb 0.500 0.000 0.500
3 Pm 0.500 0.500 0.000
4 Th 0.000 0.500 0.500
5 P 0.000 0.755 0.747
6 P 0.000 0.245 0.253
7 P 0.500 0.755 0.249
8 P 0.500 0.245 0.751

Computed properties:
Density in kg/m3: 7061
Electronic total energy in eV/atom: -6.990
Total magnetic moment in Bohr magnetons per cell: 0.000
Formation enthalpy at 0 K in eV/atom: -1.607

---

[7]
An optimized crystal structure of Ca2YCo. Source: the Alexandria database, functional PBE.

Cell: 3.489 3.486 9.177 Å, 90.00 90.00 90.00°
Each line ends with the local moment (μB).
Sites, in units of the cell vectors:
1 Y 0.500 0.500 0.750  0.09
2 Ca 0.000 0.000 0.068  -0.06
3 Ca 0.000 0.000 0.432  -0.06
4 Co 0.500 0.500 0.250  1.12

Computed properties:
Density in kg/m3: 3392
Electronic total energy in eV/atom: -4.088
Total magnetic moment in Bohr magnetons per cell: 0.867
Formation enthalpy at 0 K in eV/atom: 0.305

---

[8]
An optimized crystal structure of Pr2NiGe3. Source: the Alexandria database, functional PBE.

Cell: 6.000 6.000 8.444 Å, 111.38 111.38 88.52°
Sites, in units of the cell vectors:
1 Pr 0.250 0.750 0.500
2 Pr 0.756 0.756 0.000
3 Pr 0.750 0.250 0.500
4 Pr 0.244 0.244 0.000
5 Ni 0.333 0.333 0.667
6 Ni 0.667 0.667 0.333
7 Ge 0.652 0.175 0.827
8 Ge 0.825 0.348 0.173
9 Ge 0.348 0.825 0.173
10 Ge 0.175 0.652 0.827
11 Ge 0.826 0.826 0.653
12 Ge 0.174 0.174 0.347

Computed properties:
Density in kg/m3: 7090
Electronic total energy in eV/atom: -5.639
Total magnetic moment in Bohr magnetons per cell: 0.000
Formation enthalpy at 0 K in eV/atom: -0.774

---

[9]
An optimized crystal structure of NbHgTe2. Source: the Alexandria database, functional PBE.

Cell: 11.507 11.507 11.507 Å, 18.23 18.23 18.23°
Sites, in units of the cell vectors:
1 Nb 0.500 0.500 0.500
2 Te 0.888 0.888 0.888
3 Te 0.112 0.112 0.112
4 Hg 0.000 0.000 0.000

Computed properties:
Density in kg/m3: 6995
Electronic total energy in eV/atom: -4.475
Total magnetic moment in Bohr magnetons per cell: 0.000
Formation energy from raw total energies in meV per atom: -311

---

[10]
An optimized crystal structure of CaCdCu. Source: the Alexandria database, functional PBE.

Cell: 4.387 6.375 5.678 Å, 74.66 67.27 69.87°
Sites, in units of the cell vectors:
1 Ca 0.567 0.681 0.186
2 Ca 0.433 0.319 0.814
3 Cd 0.181 0.906 0.731
4 Cd 0.819 0.094 0.269
5 Cu 0.135 0.326 0.404
6 Cu 0.865 0.674 0.596

Computed properties:
Density in kg/m3: 5278
Electronic total energy in eV/atom: -2.565
Total magnetic moment in Bohr magnetons per cell: 0.000
Formation enthalpy at 0 K in eV/atom: -0.228

---

[11]
An optimized crystal structure of ZrZn2Ag. Source: the Alexandria database, functional PBE.

Cell: 3.582 4.470 4.470 Å, 90.00 90.00 90.00°
Sites, in units of the cell vectors:
1 Ag 0.500 0.000 0.500
2 Zn 0.000 0.000 0.000
3 Zn 0.000 0.500 0.500
4 Zr 0.500 0.500 0.000

Computed properties:
Density in kg/m3: 7657
Electronic total energy in eV/atom: -3.585
Total magnetic moment in Bohr magnetons per cell: 0.000
Formation enthalpy at 0 K in eV/atom: -0.098

---

[12]
An optimized crystal structure of KSnGe. Source: the Alexandria database, functional PBE.

Cell: 5.835 4.439 4.439 Å, 120.00 90.00 90.00°
Sites, in units of the cell vectors:
1 K 0.682 0.667 0.333
2 Ge 0.081 0.000 0.000
3 Sn 0.238 0.333 0.667

Computed properties:
Density in kg/m3: 3844
Electronic total energy in eV/atom: -3.365
Total magnetic moment in Bohr magnetons per cell: 0.000
Formation enthalpy at 0 K in eV/atom: -0.126

---

[13]
An optimized crystal structure of SmBi2Pb. Source: the Alexandria database, functional PBE.

Cell: 5.641 5.641 5.641 Å, 60.00 60.00 60.00°
Sites, in units of the cell vectors:
1 Pb 0.500 0.500 0.500
2 Bi 0.250 0.250 0.250
3 Bi 0.750 0.750 0.750
4 Sm 0.000 0.000 0.000

Computed properties:
Density in kg/m3: 10146
Electronic total energy in eV/atom: -4.328
Total magnetic moment in Bohr magnetons per cell: 0.000
Formation enthalpy at 0 K in eV/atom: -0.280

---

[14]
An optimized crystal structure of NpSiGe2. Source: the Alexandria database, functional PBE.

Cell: 4.192 4.146 4.146 Å, 90.00 90.00 90.00°
Each line ends with the local moment (μB).
Sites, in units of the cell vectors:
1 Np 0.500 0.500 0.500  3.04
2 Ge 0.000 0.000 0.500  -0.04
3 Ge 0.000 0.500 0.000  -0.04
4 Si 0.500 0.000 0.000  -0.04

Computed properties:
Density in kg/m3: 9459
Electronic total energy in eV/atom: -7.098
Total magnetic moment in Bohr magnetons per cell: 2.986
Formation energy from raw total energies in meV per atom: -199

---

[15]
An optimized crystal structure of NaCa2US4. Source: the Alexandria database, functional PBE.

Cell: 3.997 6.977 6.950 Å, 108.71 90.00 90.00°
Each line ends with the local moment (μB).
Sites, in units of the cell vectors:
1 Na 0.000 0.000 0.000  0.00
2 Ca 0.500 0.000 0.500  0.03
3 Ca 0.000 0.500 0.500  0.02
4 U 0.500 0.500 0.000  2.61
5 S 0.500 0.262 0.250  -0.03
6 S 0.500 0.738 0.750  -0.03
7 S 0.000 0.257 0.754  -0.04
8 S 0.000 0.743 0.246  -0.04

Computed properties:
Density in kg/m3: 4247
Electronic total energy in eV/atom: -5.838
Total magnetic moment in Bohr magnetons per cell: 2.966
Formation energy from raw total energies in meV per atom: -1698

---

[16]
An optimized crystal structure of BaLiMgAu. Source: the Alexandria database, functional PBE.

Cell: 5.382 5.382 5.382 Å, 60.00 60.00 60.00°
Sites, in units of the cell vectors:
1 Mg 0.750 0.750 0.750
2 Au 0.000 0.000 0.000
3 Ba 0.250 0.250 0.250
4 Li 0.500 0.500 0.500

Computed properties:
Density in kg/m3: 5505
Electronic total energy in eV/atom: -2.429
Total magnetic moment in Bohr magnetons per cell: 0.000
Formation enthalpy at 0 K in eV/atom: -0.252

---

[17]
An optimized crystal structure of CrRh. Source: the Alexandria database, functional PBE.

Cell: 3.515 3.515 3.515 Å, 60.00 60.00 60.00°
Each line ends with the local moment (μB).
Sites, in units of the cell vectors:
1 Cr 0.000 0.000 0.000  2.31
2 Rh 0.500 0.500 0.500  -0.13

Computed properties:
Density in kg/m3: 8378
Electronic total energy in eV/atom: -7.824
Total magnetic moment in Bohr magnetons per cell: 2.305
Formation enthalpy at 0 K in eV/atom: 0.663

---

[18]
An optimized crystal structure of BaSeNF2. Source: the Alexandria database, functional PBE.

Cell: 5.011 5.011 6.087 Å, 90.00 90.00 90.00°
Each line ends with the local moment (μB).
Sites, in units of the cell vectors:
1 N 0.000 0.000 0.500  1.80
2 Ba 0.000 0.000 0.000  0.03
3 Se 0.500 0.500 0.500  1.28
4 F 0.000 0.500 0.000  0.04
5 F 0.500 0.000 0.000  0.04

Computed properties:
Density in kg/m3: 2915
Electronic total energy in eV/atom: -4.066
Total magnetic moment in Bohr magnetons per cell: 5.000
Formation energy from raw total energies in meV per atom: -571

---

[19]
An optimized crystal structure of Cs3Tb3SbS8. Source: the Alexandria database, functional PBE.

Cell: 8.098 8.099 9.462 Å, 115.36 89.99 120.00°
Sites, in units of the cell vectors:
1 Cs 0.000 0.000 0.000
2 Cs 0.000 0.500 0.000
3 Cs 0.500 0.500 0.000
4 Tb 0.500 0.000 0.500
5 Tb 0.500 0.500 0.500
6 Tb 0.000 0.500 0.500
7 Sb 0.000 0.000 0.500
8 S 0.273 0.546 0.320
9 S 0.727 0.454 0.680
10 S 0.780 0.560 0.323
11 S 0.220 0.440 0.677
12 S 0.780 0.043 0.324
13 S 0.220 0.957 0.676
14 S 0.263 0.043 0.324
15 S 0.737 0.957 0.676

Computed properties:
Density in kg/m3: 4457
Electronic total energy in eV/atom: -5.082
Total magnetic moment in Bohr magnetons per cell: 0.000
Formation energy from raw total energies in meV per atom: -1509

---

[20]
An optimized crystal structure of Tb12Au3O5. Source: the Alexandria database, functional PBE.

Cell: 13.354 13.354 13.354 Å, 109.47 109.47 109.47°
Sites, in units of the cell vectors:
1 Au 0.750 0.375 0.125
2 Au 0.875 0.750 0.125
3 Au 0.375 0.750 0.625
4 Au 0.250 0.125 0.375
5 Au 0.875 0.125 0.250
6 Au 0.375 0.625 0.250
7 Au 0.625 0.375 0.750
8 Au 0.125 0.875 0.750
9 Au 0.750 0.875 0.625
10 Au 0.625 0.250 0.375
11 Au 0.125 0.250 0.875
12 Au 0.250 0.625 0.875
13 O 0.125 0.375 0.250
14 O 0.000 0.500 0.000
15 O 0.000 0.000 0.000
16 O 0.375 0.250 0.125
17 O 0.500 0.000 0.500
18 O 0.500 0.500 0.000
19 O 0.125 0.750 0.375
20 O 0.750 0.125 0.875
21 O 0.750 0.625 0.375
22 O 0.375 0.125 0.750
23 O 0.625 0.875 0.250
24 O 0.500 0.500 0.500
25 O 0.500 0.000 0.000
26 O 0.000 0.000 0.500
27 O 0.250 0.375 0.625
28 O 0.250 0.875 0.125
29 O 0.000 0.500 0.500
30 O 0.875 0.250 0.625
31 O 0.625 0.750 0.875
32 O 0.875 0.625 0.750
33 Tb 0.703 0.112 0.016
34 Tb 0.313 0.516 0.404
35 Tb 0.984 0.388 0.297
36 Tb 0.516 0.203 0.112
37 Tb 0.590 0.703 0.687
38 Tb 0.984 0.596 0.187
39 Tb 0.313 0.797 0.410
40 Tb 0.096 0.910 0.112
41 Tb 0.596 0.984 0.687
42 Tb 0.703 0.590 0.187
43 Tb 0.797 0.484 0.388
44 Tb 0.813 0.904 0.016
45 Tb 0.112 0.703 0.516
46 Tb 0.388 0.404 0.090
47 Tb 0.090 0.904 0.388
48 Tb 0.410 0.112 0.596
49 Tb 0.090 0.187 0.203
50 Tb 0.484 0.687 0.096
51 Tb 0.813 0.910 0.297
52 Tb 0.112 0.410 0.096
53 Tb 0.388 0.984 0.797
54 Tb 0.596 0.612 0.410
55 Tb 0.904 0.813 0.516
56 Tb 0.797 0.313 0.910
57 Tb 0.404 0.388 0.590
58 Tb 0.096 0.187 0.484
59 Tb 0.203 0.687 0.090
60 Tb 0.187 0.090 0.703
61 Tb 0.612 0.016 0.203
62 Tb 0.888 0.590 0.904
63 Tb 0.516 0.313 0.904
64 Tb 0.590 0.888 0.404
65 Tb 0.910 0.813 0.797
66 Tb 0.910 0.096 0.612
67 Tb 0.888 0.297 0.484
68 Tb 0.187 0.096 0.984
69 Tb 0.612 0.596 0.910
70 Tb 0.404 0.016 0.313
71 Tb 0.297 0.410 0.813
72 Tb 0.203 0.516 0.612
73 Tb 0.904 0.090 0.888
74 Tb 0.687 0.203 0.590
75 Tb 0.484 0.797 0.888
76 Tb 0.016 0.404 0.813
77 Tb 0.410 0.297 0.313
78 Tb 0.016 0.612 0.703
79 Tb 0.687 0.484 0.596
80 Tb 0.297 0.888 0.984

Computed properties:
Density in kg/m3: 9341
Electronic total energy in eV/atom: -6.155
Total magnetic moment in Bohr magnetons per cell: 0.016
Formation energy from raw total energies in meV per atom: -1646